An optimized crystal structure of Ni6RuPt, computed with PBE.

Summary:
total magnetic moment = 1.73 μB/f.u.
formation energy from the elements = 0.027 eV/atom
space group = No. 123
energy relative to the lowest polymorph listed for this composition = 0.0 meV/atom

The structure in POSCAR format:
```
Ni6RuPt
1.0
3.6224 0.0000 0.0000
0.0000 3.6224 0.0000
0.0000 0.0000 7.2557
Ni Ru Pt
6 1 1
direct
0.0000 0.0000 0.0000
0.0000 0.0000 0.5000
0.0000 0.5000 0.2433
0.0000 0.5000 0.7567
0.5000 0.0000 0.2433
0.5000 0.0000 0.7567
0.5000 0.5000 0.0000
0.5000 0.5000 0.5000
```